Below is an optimized crystal structure of Al2Cu3Au8, with properties calculated at the PBE-GGA level. Values from VASP.

Structure (Quantum ESPRESSO input):
```
&SYSTEM
  ibrav = 0, nat = 13, ntyp = 3
/
ATOMIC_SPECIES
Au 196.97 Au.upf
Al 26.98 Al.upf
Cu 63.55 Cu.upf
CELL_PARAMETERS angstrom
-2.115 -3.553 -0.044
6.419 -3.769 -4.180
-0.530 0.219 7.789
ATOMIC_POSITIONS angstrom
Au 3.824 -2.266 -0.780
Au -0.050 -4.837 4.346
Al 0.321 -2.633 2.923
Au 5.156 -3.094 2.054
Cu 4.365 -2.655 4.600
Au -1.381 -4.009 1.511
Cu -1.057 -1.777 -0.022
Cu 1.524 -0.895 -0.991
Au -0.684 -2.064 5.232
Au 4.459 -5.039 -1.667
Al 3.453 -4.469 0.642
Au 2.530 -3.950 3.127
Au 1.245 -3.152 0.438
```

Summary:
The energy comes out at -47.572 eV for the cell shown. The formation energy from the elements is -121.5 meV/atom. The symmetry is P2/m (10). The calculation puts the magnetic moment at 0.00 μB per cell.

Below is an optimized crystal structure of AlCu8Au5, with properties calculated at the PBE-GGA level. Values from VASP.

Structure (Quantum ESPRESSO input):
```
&SYSTEM
  ibrav = 0, nat = 14, ntyp = 3
/
ATOMIC_SPECIES
Cu 63.55 Cu.upf
Au 196.97 Au.upf
Al 26.98 Al.upf
CELL_PARAMETERS angstrom
-4.416 4.734 -0.775
-0.104 -2.148 6.155
5.894 2.403 -1.413
ATOMIC_POSITIONS angstrom
Cu -0.531 -1.107 4.617
Cu -0.840 1.079 2.940
Cu 2.215 3.916 1.025
Au -3.561 3.984 1.564
Cu 0.945 1.465 0.770
Cu 2.721 0.581 3.745
Au 0.048 3.470 2.323
Cu 2.257 3.315 3.749
Au 0.739 3.569 -1.094
Cu -1.349 4.401 0.224
Al 3.264 1.912 1.824
Cu 0.075 6.306 -1.202
Au -2.308 3.019 4.085
Au -1.743 1.834 0.600
```

Summary:
The energy comes out at -52.190 eV for the cell shown. The formation energy from the elements is 50.6 meV/atom. The symmetry is I-4 (82). The calculation puts the magnetic moment at 0.00 μB per cell.

Below is an optimized crystal structure of Al2CuAu8, with properties calculated at the PBE-GGA level. Values from VASP.

Structure (Quantum ESPRESSO input):
```
&SYSTEM
  ibrav = 0, nat = 11, ntyp = 3
/
ATOMIC_SPECIES
Al 26.98 Al.upf
Au 196.97 Au.upf
Cu 63.55 Cu.upf
CELL_PARAMETERS angstrom
-2.046 -3.484 2.303
4.777 -1.416 4.784
-2.602 3.356 5.447
ATOMIC_POSITIONS angstrom
Al 0.730 -0.257 9.963
Au 0.300 -0.218 4.901
Al -0.601 -1.287 2.571
Au 2.744 -0.836 6.325
Au -0.171 -1.326 7.633
Au -1.064 1.627 6.668
Au 1.193 -3.171 5.866
Au -1.251 -2.581 4.639
Au 1.380 1.037 7.894
Au -2.616 -0.709 6.209
Cu 0.000 0.000 0.000
```

Summary:
The calculation puts the energy above the lowest structure with this stoichiometry at 89 meV/atom. The energy comes out at -38.664 eV for the cell shown. The formation energy from the elements is -78.5 meV/atom. The symmetry is C2/m (12). The calculation puts the magnetic moment at 0.00 μB per cell.